# 1
VASP calculation (GGA-PBE) on a relaxed BaTlFe3 crystal.

Computed properties:
The formation enthalpy at 0 K comes out at 2.0951 eV per atom. Its density of states at the Fermi level is 8.6 states/eV/cell. The calculation puts the total magnetization at 8.449 μB/cell. Its distance to the lowest polymorph of the same formula is 943 meV per atom.

Cell lengths 5.1430, 5.1430, 5.1430 Å; angles 90.00, 90.00, 90.00 degrees
With the nearest neighbours (Å) after each atom.
Atoms (fractional coordinates):
Tl 0.5000 0.5000 0.5000  12 Fe 3.64
Ba 0.0000 0.0000 0.0000  6 Fe 2.57
Fe 0.0000 0.5000 0.0000  2 Ba 2.57
Fe 0.0000 0.0000 0.5000  2 Ba 2.57
Fe 0.5000 0.0000 0.0000  2 Ba 2.57



# 2
VASP calculation (GGA-PBE) on a relaxed BaTlFe crystal.

Computed properties:
The formation enthalpy at 0 K comes out at 0.9917 eV per atom. Its density of states at the Fermi level is 4.8 states/eV/cell. The calculation puts the total magnetization at 3.075 μB/cell.

Cell lengths 5.4593, 5.4593, 5.4593 Å; angles 60.00, 60.00, 60.00 degrees
With the nearest neighbours (Å) after each atom.
Atoms (fractional coordinates):
Ba 0.7500 0.7500 0.7500  4 Tl 3.34, 4 Fe 3.34
Fe 0.0000 0.0000 0.0000  4 Ba 3.34
Tl 0.5000 0.5000 0.5000  4 Ba 3.34



# 3
VASP calculation (GGA-PBE) on a relaxed BaTlFe2 crystal.

Computed properties:
The formation enthalpy at 0 K comes out at 0.5921 eV per atom. Its density of states at the Fermi level is 3.5 states/eV/cell. The calculation puts the total magnetization at 5.232 μB/cell.

Cell lengths 4.7428, 3.5234, 6.4384 Å; angles 82.54, 90.00, 90.00 degrees
With the nearest neighbours (Å) after each atom.
Atoms (fractional coordinates):
Ba 0.5000 0.7500 0.7500  4 Tl 3.46-3.87, 2 Ba 3.52, 4 Fe 3.60
Fe 0.0000 0.0222 0.1252  2 Fe 2.34-2.41
Fe 0.0000 0.4778 0.3748  2 Fe 2.34-2.41
Tl 0.5000 0.2500 0.2500  4 Fe 2.66



# 4
VASP calculation (GGA-PBE) on a relaxed BaTl3Fe crystal.

Computed properties:
The formation enthalpy at 0 K comes out at 1.3561 eV per atom. Its density of states at the Fermi level is 19.3 states/eV/cell. The calculation puts the total magnetization at 2.427 μB/cell. Its distance to the lowest polymorph of the same formula is 1370 meV per atom.

Cell lengths 6.4425, 6.4425, 6.4425 Å; angles 90.00, 90.00, 90.00 degrees
With the nearest neighbours (Å) after each atom.
Atoms (fractional coordinates):
Tl 0.0000 0.5000 0.0000  2 Ba 3.22
Tl 0.0000 0.0000 0.5000  2 Ba 3.22
Tl 0.5000 0.0000 0.0000  2 Ba 3.22
Ba 0.0000 0.0000 0.0000  6 Tl 3.22
Fe 0.5000 0.5000 0.5000  12 Tl 4.56



# 5
VASP calculation (GGA-PBE) on a relaxed BaTlFe2 crystal.

Computed properties:
The formation enthalpy at 0 K comes out at 0.5792 eV per atom. Its density of states at the Fermi level is 3.0 states/eV/cell. The calculation puts the total magnetization at 5.039 μB/cell.

Cell lengths 6.1137, 6.1137, 6.1137 Å; angles 147.96, 127.47, 62.87 degrees
With the nearest neighbours (Å) after each atom.
Atoms (fractional coordinates):
Ba 0.7626 0.2626 0.5000  8 Fe 3.23-3.52, 2 Ba 3.37, 4 Tl 3.43-3.54
Fe 0.0584 0.0584 0.0000  2 Fe 2.35
Fe 0.2149 0.7149 0.5000  2 Fe 2.35
Tl 0.4640 0.4640 0.0000  6 Fe 3.10-3.34, 2 Tl 3.37, 2 Ba 3.43



# 6
VASP calculation (GGA-PBE) on a relaxed BaTlFe2 crystal.

Computed properties:
The formation enthalpy at 0 K comes out at 0.6361 eV per atom. Its density of states at the Fermi level is 4.4 states/eV/cell. The calculation puts the total magnetization at 5.294 μB/cell.

Cell lengths 5.3480, 5.3480, 5.3480 Å; angles 124.07, 110.51, 95.13 degrees
With the nearest neighbours (Å) after each atom.
Atoms (fractional coordinates):
Ba 0.7500 0.2500 0.5000  8 Fe 3.24-3.56, 2 Tl 3.61
Fe 0.0996 0.0996 0.0000  1 Fe 2.17
Fe 0.4004 0.4004 0.0000  1 Fe 2.17
Tl 0.2500 0.7500 0.5000  4 Fe 2.73



# 7
VASP calculation (GGA-PBE) on a relaxed BaTlFe crystal.

Computed properties:
The formation enthalpy at 0 K comes out at 0.5435 eV per atom. Its density of states at the Fermi level is 7.6 states/eV/cell. The calculation puts the total magnetization at 2.475 μB/cell.

Cell lengths 5.0919, 5.0919, 5.0919 Å; angles 60.00, 60.00, 60.00 degrees
With the nearest neighbours (Å) after each atom.
Atoms (fractional coordinates):
Ba 0.5000 0.5000 0.5000  4 Fe 3.12
Fe 0.7500 0.7500 0.7500  4 Ba 3.12, 4 Tl 3.12
Tl 0.0000 0.0000 0.0000  4 Fe 3.12



# 8
VASP calculation (GGA-PBE) on a relaxed BaTlFe2 crystal.

Computed properties:
The formation enthalpy at 0 K comes out at 0.8635 eV per atom. Its density of states at the Fermi level is 14.8 states/eV/cell. The calculation puts the total magnetization at 0.461 μB/cell.

Cell lengths 4.7459, 4.7459, 9.8220 Å; angles 76.02, 76.02, 90.00 degrees
With the nearest neighbours (Å) after each atom.
Atoms (fractional coordinates):
Tl 0.0000 0.0000 0.0000  4 Fe 2.59
Tl 0.7500 0.2500 0.5000  4 Fe 2.59
Ba 0.5000 0.5000 0.0000  4 Tl 3.36, 8 Fe 3.52
Ba 0.2500 0.7500 0.5000  4 Tl 3.36, 8 Fe 3.52
Fe 0.8747 0.1250 0.2500  2 Fe 2.37, 2 Tl 2.59
Fe 0.8753 0.6250 0.2500  2 Fe 2.37, 2 Tl 2.59
Fe 0.3750 0.1253 0.7500  2 Fe 2.37, 2 Tl 2.59
Fe 0.8750 0.1247 0.7500  2 Fe 2.37, 2 Tl 2.59